Zn2InTe | Alexandria | SCAN | single point on PBEsol structure; relative energy among the computed polymorphs = 127 meV/atom; N(E_F) = 1.36 states/eV per cell; E_form (uncorrected) = 154 meV per atom
1.0
-0.396 -0.990 3.713
4.935 0.272 -0.428
-1.303 4.786 0.109
In Te Zn
1 1 2
Cartesian
-0.198 -0.495 1.857
1.618 2.034 1.697
2.468 0.136 -0.214
-0.652 2.393 0.055